(1)
A plane-wave DFT calculation with PBE was carried out for crystalline Rb2PrAuO4 at its relaxed geometry.

```
8
Lattice="-3.277 3.277 3.687 3.277 -3.277 3.687 3.277 3.277 -3.687" Properties=species:S:1:pos:R:3 pbc="T T T"
Rb 0.000 0.000 0.000
Rb 0.000 3.277 1.844
Pr 0.000 0.000 3.687
Au 3.277 0.000 1.844
O 1.492 -0.959 2.206
O 1.785 4.236 -1.481
O 2.317 1.785 1.481
O 0.959 1.492 5.168
```

Summary:
Crystal system = tetragonal
Formation energy without anion corrections = -1508 meV/atom
Symmetry = No. 82
Calculated density = 6.01 g/cm³
Total moment = 0.00 Bohr magnetons per cell

***

(2)
A plane-wave DFT calculation with PBE was carried out for crystalline RbPr2AuO4 at its relaxed geometry.

```
16
Lattice="1.911 -6.645 0.000 1.911 6.645 0.000 0.000 0.000 12.097" Properties=species:S:1:pos:R:3 pbc="T T T"
Rb 1.911 5.779 9.073
Rb 1.911 -5.779 3.024
Pr 1.911 1.698 6.849
Pr 1.911 1.698 11.296
Pr 1.911 -1.698 0.801
Pr 1.911 -1.698 5.248
Au 1.911 3.464 3.024
Au 1.911 -3.464 9.073
O 0.000 0.000 0.000
O 0.000 0.000 6.048
O 1.911 3.488 0.993
O 1.911 3.488 5.056
O 1.911 1.030 9.073
O 1.911 -1.030 3.024
O 1.911 -3.488 7.041
O 1.911 -3.488 11.104
```

Summary:
Crystal system = orthorhombic
Formation energy without anion corrections = -2187 meV/atom
Symmetry = No. 63
Calculated density = 6.79 g/cm³
Total moment = 0.00 Bohr magnetons per cell

***

(3)
A plane-wave DFT calculation with PBE was carried out for crystalline SrPr2AuO5 at its relaxed geometry.

```
18
Lattice="6.825 0.000 0.000 0.000 6.825 0.000 0.000 0.000 6.176" Properties=species:S:1:pos:R:3 pbc="T T T"
Sr 0.000 0.000 0.000
Sr 3.412 3.412 0.000
Pr 1.171 2.241 3.088
Pr 2.241 5.653 3.088
Pr 4.584 1.171 3.088
Pr 5.653 4.584 3.088
Au 0.000 3.412 0.000
Au 3.412 0.000 0.000
O 0.000 0.000 3.088
O 1.018 4.430 1.569
O 1.018 4.430 4.607
O 2.395 1.018 1.569
O 2.395 1.018 4.607
O 3.412 3.412 3.088
O 4.430 5.807 1.569
O 4.430 5.807 4.607
O 5.807 2.395 1.569
O 5.807 2.395 4.607
```

Summary:
Crystal system = tetragonal
Formation energy without anion corrections = -2323 meV/atom
Symmetry = No. 127
Calculated density = 7.46 g/cm³
Total moment = 2.02 Bohr magnetons per cell